Record 1
Here is Ta2VNi after structural relaxation from Alexandria. Energies are from PBE.

The structure in POSCAR format:
```
Ta2VNi
1.0
-3.0296 0.9037 0.2400
-0.9277 -2.8036 -1.1540
-0.2227 -2.2378 5.6159
V Ta Ni
1 2 1
Cartesian
-1.9787 -0.9500 -0.4570 V
-0.1671 -1.6796 4.2150 Ta
-0.0555 -0.5582 1.4009 Ta
-2.0900 -2.0689 2.3510 Ni
```

Values from the calculation:
symmetry = P4/mmm (123)
formation energy = -0.088 eV per atom
Fermi-level density of states = 5.26 states/eV per cell


Record 2
Here is TaVNi after structural relaxation from Alexandria. Energies are from PBE.

The structure in POSCAR format:
```
TaVNi
1.0
4.3138 0.0000 0.0000
-2.1569 3.7359 0.0000
0.0000 0.0000 5.2713
Ta Ni V
2 2 2
Cartesian
0.0000 0.0000 3.8286 Ta
0.0000 2.4906 1.8497 Ta
2.1569 1.2453 0.1923 Ni
0.0000 2.4906 4.5015 Ni
2.1569 1.2453 2.8214 V
0.0000 0.0000 1.1916 V
```

Values from the calculation:
symmetry = P3m1 (156)
polymorph energy (0 for the lowest one) = 170 meV per atom
formation energy = -0.046 eV per atom
Fermi-level density of states = 5.38 states/eV per cell


Record 3
Here is TaV3Ni after structural relaxation from Alexandria. Energies are from PBE.

The structure in POSCAR format:
```
TaV3Ni
1.0
4.8105 0.0000 0.0000
0.0000 5.0767 0.0000
0.0000 -2.5384 5.8689
V Ta Ni
6 2 2
Cartesian
1.2026 3.7995 1.8387 V
3.6079 0.0000 2.1314 V
1.2026 1.2772 1.8387 V
1.2026 2.5384 3.7375 V
3.6079 1.2611 4.0302 V
3.6079 -1.2611 4.0302 V
3.6079 2.5384 0.8872 Ta
1.2026 0.0000 4.9816 Ta
0.0000 0.0000 0.0000 Ni
2.4053 0.0000 0.0000 Ni
```

Values from the calculation:
symmetry = Cmcm (63)
polymorph energy (0 for the lowest one) = 0 meV per atom
formation energy = 0.168 eV per atom
Fermi-level density of states = 11.64 states/eV per cell


Record 4
Here is TaVNi after structural relaxation from Alexandria. Energies are from PBE.

The structure in POSCAR format:
```
TaVNi
1.0
4.8228 0.0000 0.0000
0.0000 4.9630 0.0000
0.0000 0.0000 7.0478
Ta Ni V
4 4 4
Cartesian
0.0000 1.2408 2.6647 Ta
0.0000 3.7223 4.3831 Ta
2.4114 3.7223 6.1886 Ta
2.4114 1.2408 0.8592 Ta
2.4114 0.0000 3.5239 Ni
0.0000 0.0000 0.0000 Ni
2.4114 2.4815 3.5239 Ni
0.0000 2.4815 0.0000 Ni
1.2057 3.7223 1.7620 V
3.6171 3.7223 1.7620 V
3.6171 1.2408 5.2859 V
1.2057 1.2408 5.2859 V
```

Values from the calculation:
symmetry = Imma (74)
polymorph energy (0 for the lowest one) = 45 meV per atom
formation energy = -0.171 eV per atom
Fermi-level density of states = 18.87 states/eV per cell